A relaxed Cd2MoSe crystal. Source: Alexandria, functional PBE.

POSCAR file:
```
Cd2MoSe
1.0
2.993 0.016 0.000
-1.276 2.707 0.000
0.000 0.000 10.910
Cd Mo Se
2 1 1
Direct
0.000 0.000 0.029
0.500 0.500 0.283
0.000 0.000 0.509
0.500 0.500 0.679
```

Computed properties:
The value obtained for the total moment is 0.0 μB per cell. The raw formation energy is 0.21 eV/atom. For the energy above the most stable polymorph in this dataset, the calculation gives 256 meV/atom. The symmetry is No. 35. The density is 7.49 Mg/m³. The total DFT energy (no corrections) comes out at -3.828 eV per atom.